A relaxed structure of DyHo2Au, computed with PBE.

The total magnetic moment comes out at 0.00 μB/cell. For the formation energy, the calculation gives -0.40 eV/atom.

Unit cell a=3.5683 b=3.5683 c=8.6481 alpha=90.00 beta=90.00 gamma=90.00
Space group P4/mmm (No. 123)
Inequivalent atoms, fractional coordinates:
Dy 0.0000 0.0000 0.0000 [1 per cell]
Ho 0.5000 0.5000 0.2935 [2 per cell]
Au 0.0000 0.0000 0.5000 [1 per cell]